Below is crystalline Pa2Si2H at its relaxed geometry, with properties calculated at the PBE-GGA level.

Computed properties:
As for the density of states at the Fermi level: 5.3 states/eV/f.u. For the size of the total moment, the calculation gives 0.00 μB/f.u. The raw total energy comes out at -68.25 eV per cell.

Geometry as CIF:
```
data_Pa2Si2H
_cell_length_a 3.790
_cell_length_b 3.768
_cell_length_c 12.437
_cell_angle_alpha 90.00
_cell_angle_beta 90.00
_cell_angle_gamma 90.00
_symmetry_space_group_name_H-M 'A m m 2'
_symmetry_Int_Tables_number 38
loop_
_symmetry_equiv_pos_as_xyz
'x,y,z'
'-x,-y,z'
'-x,y,z'
'x,-y,z'
'x,y+1/2,z+1/2'
'-x,-y+1/2,z+1/2'
'-x,y+1/2,z+1/2'
'x,-y+1/2,z+1/2'
loop_
_atom_site_label
_atom_site_type_symbol
_atom_site_fract_x
_atom_site_fract_y
_atom_site_fract_z
_atom_site_occupancy
Pa1 Pa 0.000 0.000 0.000 1
Pa2 Pa 0.000 0.000 0.236 1
Si1 Si 0.500 0.000 0.410 1
Si2 Si 0.500 0.000 0.612 1
H1 H 0.500 0.000 0.750 1
```